(1)
Computed, not measured: a relaxed PaCo4P2 crystal at the GGA-PBE level of DFT.

Cell lengths 3.8860, 3.9056, 6.4030 Å; angles 90.00, 107.67, 90.00 degrees
Site moments in Bohr magnetons follow the coordinates.
Element x y z (fractional)
Pa1 0.0000 0.0000 0.0000  -0.28
P1 0.5988 0.4999 0.1978  0.01
P2 0.4012 0.5001 0.8022  0.01
Co1 0.3174 0.0000 0.6350  1.13
Co2 0.6826 0.0000 0.3650  1.13
Co3 0.1813 0.5000 0.3628  0.82
Co4 0.8187 0.5000 0.6372  0.82

Results
DFT formation energy	-0.6109	eV per atom
N(E_F)	6.8	states/eV/cell
total magnetization	0.5060	μB per atom
energy above the most stable polymorph in this dataset	101	meV per atom

(2)
Computed, not measured: a relaxed Pa2CoP crystal at the GGA-PBE level of DFT.

Cell lengths 3.6826, 5.6961, 7.8340 Å; angles 110.62, 90.00, 90.00 degrees
Element x y z (fractional)
P1 0.2500 0.3362 0.2035
P2 0.7500 0.6638 0.7965
Pa1 0.7500 0.2154 0.4464
Pa2 0.2500 0.7895 0.0975
Pa3 0.2500 0.7846 0.5536
Pa4 0.7500 0.2105 0.9025
Co1 0.2500 0.3820 0.7199
Co2 0.7500 0.6180 0.2801

Results
DFT formation energy	-0.7819	eV per atom
N(E_F)	10.6	states/eV/cell
total magnetization	0.0000	μB per atom
energy above the most stable polymorph in this dataset	0	meV per atom

(3)
Computed, not measured: a relaxed Pa3Co2P4 crystal at the GGA-PBE level of DFT.

Cell lengths 3.8573, 6.1565, 8.1041 Å; angles 118.68, 90.00, 108.26 degrees
Element x y z (fractional)
P1 0.0937 0.1874 0.3969
P2 0.6877 0.3755 0.1018
P3 0.3123 0.6245 0.8982
P4 0.9063 0.8126 0.6031
Co1 0.3168 0.6335 0.6240
Co2 0.6832 0.3665 0.3760
Pa1 0.6271 0.2542 0.7058
Pa2 0.3729 0.7458 0.2942
Pa3 0.0000 0.0000 0.0000

Results
DFT formation energy	-1.0361	eV per atom
N(E_F)	8.9	states/eV/cell
total magnetization	0.0000	μB per atom

(4)
Computed, not measured: a relaxed PaCoP crystal at the GGA-PBE level of DFT.

Cell lengths 3.9347, 3.9348, 6.3860 Å; angles 90.00, 90.01, 90.00 degrees
Site moments in Bohr magnetons follow the coordinates.
Element x y z (fractional)
Pa1 0.2501 0.2500 0.8228  -0.23
Pa2 0.7499 0.7500 0.1772  -0.23
P1 0.7501 0.7500 0.7154  0.03
P2 0.2499 0.2500 0.2846  0.03
Co1 0.2500 0.7500 0.5000  0.63
Co2 0.7500 0.2500 0.5000  0.63

Results
DFT formation energy	-0.8761	eV per atom
N(E_F)	6.6	states/eV/cell
total magnetization	0.1236	μB per atom

(5)
Computed, not measured: a relaxed PaCo3P crystal at the GGA-PBE level of DFT.

Cell lengths 5.5376, 5.5376, 5.5376 Å; angles 140.19, 140.19, 57.57 degrees
Element x y z (fractional)
Pa1 0.6133 0.6133 0.0000
Co1 0.8549 0.3549 0.5000
Co2 0.1981 0.1981 0.0000
Co3 0.3549 0.8549 0.5000
P1 0.9720 0.9720 0.0000

Results
DFT formation energy	-0.6866	eV per atom
N(E_F)	3.7	states/eV/cell
total magnetization	0.0000	μB per atom
energy above the most stable polymorph in this dataset	0	meV per atom

(6)
Computed, not measured: a relaxed Pa2Co2P crystal at the GGA-PBE level of DFT.

Cell lengths 3.8536, 5.5232, 8.9544 Å; angles 83.55, 77.57, 69.58 degrees
Element x y z (fractional)
Co1 0.0577 0.3020 0.5827
Co2 0.9423 0.6980 0.4173
Co3 0.6459 0.8304 0.8777
Co4 0.3541 0.1696 0.1223
Pa1 0.9072 0.2847 0.9010
Pa2 0.6878 0.2735 0.3509
Pa3 0.3122 0.7265 0.6491
Pa4 0.0928 0.7153 0.0990
P1 0.4160 0.8466 0.3215
P2 0.5840 0.1534 0.6785

Results
DFT formation energy	-0.7017	eV per atom
N(E_F)	10.4	states/eV/cell
total magnetization	0.0000	μB per atom

(7)
Computed, not measured: a relaxed Pa3Co4P4 crystal at the GGA-PBE level of DFT.

Cell lengths 3.8332, 3.8352, 11.8664 Å; angles 99.30, 99.29, 90.00 degrees
Site moments in Bohr magnetons follow the coordinates.
Element x y z (fractional)
P1 0.8029 0.3029 0.6058  0.02
P2 0.5532 0.5532 0.1065  0.00
P3 0.4468 0.4468 0.8935  0.00
P4 0.1971 0.6971 0.3942  0.02
Pa1 0.0000 0.0000 0.0000  0.01
Pa2 0.6473 0.1473 0.2946  -0.05
Pa3 0.3527 0.8527 0.7054  -0.05
Co1 0.7502 0.7502 0.5003  0.68
Co2 0.0999 0.5999 0.1998  0.01
Co3 0.2498 0.2498 0.4997  0.68
Co4 0.9001 0.4001 0.8002  0.01

Results
DFT formation energy	-1.0597	eV per atom
N(E_F)	8.6	states/eV/cell
total magnetization	0.1150	μB per atom

(8)
Computed, not measured: a relaxed PaCo2P crystal at the GGA-PBE level of DFT.

Cell lengths 3.7230, 5.4749, 4.1292 Å; angles 131.53, 93.32, 90.00 degrees
Element x y z (fractional)
P1 0.5000 0.0000 0.0000
Co1 0.0331 0.2031 0.4062
Co2 0.9669 0.7969 0.5938
Pa1 0.5000 0.5000 0.0000

Results
DFT formation energy	-0.4958	eV per atom
N(E_F)	4.7	states/eV/cell
total magnetization	0.0206	μB per atom
energy above the most stable polymorph in this dataset	245	meV per atom